Record 1
A plane-wave DFT calculation with PBE was carried out for an optimized crystal structure of Co2AsSe.

Structure (POSCAR):
```
Co2AsSe
1.0
3.5190 0.0000 0.0000
0.0000 3.5190 0.0000
0.0000 0.0000 8.8389
Co As Se
4 2 2
Direct
0.0000 0.0000 0.0000
0.0000 0.5000 0.2500
0.5000 0.0000 0.7500
0.5000 0.5000 0.5000
0.0000 0.0000 0.5000
0.5000 0.5000 0.0000
0.0000 0.5000 0.7500
0.5000 0.0000 0.2500
```

Results
DFT total energy   -0.19410 Ha/atom
ΔE_f (raw)   0.305 eV/atom
Symmetry   I-4m2, No. 119
Magnetic moment   0.1 μB/f.u.
N(E_F)   7.35 states/eV/cell


Record 2
A plane-wave DFT calculation with PBE was carried out for an optimized crystal structure of CoTePb2.

Structure (POSCAR):
```
CoTePb2
1.0
3.2765 0.0000 0.0000
0.0000 3.2765 0.0000
0.0000 0.0000 9.3335
Co Te Pb
1 1 2
Direct
0.0000 0.0000 0.0000
0.5000 0.5000 0.8712
0.0000 0.0000 0.5420
0.5000 0.5000 0.2263
```

Results
DFT total energy   -0.15642 Ha/atom
ΔE_f (raw)   0.160 eV/atom
Symmetry   P4mm, No. 99
Relative energy among the computed polymorphs   78 meV/atom
Magnetic moment   0.0 μB/f.u.
N(E_F)   3.15 states/eV/cell


Record 3
A plane-wave DFT calculation with PBE was carried out for an optimized crystal structure of TcTe2I2.

Structure (POSCAR):
```
TcTe2I2
1.0
4.0871 0.0000 0.0000
0.0000 4.0871 0.0000
0.0000 0.0000 24.3373
Tc Te I
2 4 4
Direct
0.0000 0.0000 0.0000
0.5000 0.5000 0.5000
0.0000 0.5000 0.2500
0.0000 0.5000 0.7500
0.5000 0.0000 0.2500
0.5000 0.0000 0.7500
0.0000 0.0000 0.4263
0.0000 0.0000 0.5737
0.5000 0.5000 0.0737
0.5000 0.5000 0.9263
```

Results
DFT total energy   -0.12135 Ha/atom
ΔE_f (raw)   0.648 eV/atom
Symmetry   I4/mmm, No. 139
Relative energy among the computed polymorphs   28 meV/atom
Magnetic moment   4.9 μB/f.u.
N(E_F)   3.28 states/eV/cell


Record 4
A plane-wave DFT calculation with PBE was carried out for an optimized crystal structure of TbEr3Th2.

Structure (POSCAR):
```
TbEr3Th2
1.0
9.9899 0.0000 0.0000
0.0000 3.5547 0.0000
-0.0282 0.0000 10.5987
Tb Er Th
2 6 4
Direct
0.1235 0.2500 0.2509
0.8765 0.7500 0.7491
0.1317 0.2500 0.9180
0.3704 0.7500 0.4176
0.3758 0.7500 0.7507
0.6242 0.2500 0.2493
0.6296 0.2500 0.5824
0.8683 0.7500 0.0820
0.1243 0.2500 0.5821
0.3782 0.7500 0.0825
0.6218 0.2500 0.9175
0.8757 0.7500 0.4179
```

Results
DFT total energy   -0.20202 Ha/atom
Symmetry   P2_1/m, No. 11
Formation energy   0.0291 eV/atom
Relative energy among the computed polymorphs   0 meV/atom
Magnetic moment   0.0 μB/f.u.
N(E_F)   14.92 states/eV/cell


Record 5
A plane-wave DFT calculation with PBE was carried out for an optimized crystal structure of LiPu2ThSe4.

Structure (POSCAR):
```
LiPu2ThSe4
1.0
7.1429 0.0000 0.0000
0.0000 4.1283 0.0000
-2.3641 0.0000 6.7891
Li Pu Th Se
1 2 1 4
Direct
0.0000 0.0000 0.0000
0.0000 0.5000 0.5000
0.5000 0.0000 0.5000
0.5000 0.5000 0.0000
0.2401 0.0000 0.7505
0.2418 0.5000 0.2430
0.7582 0.5000 0.7570
0.7599 0.0000 0.2495
```

Results
DFT total energy   -0.29375 Ha/atom
ΔE_f (raw)   -1.501 eV/atom
Symmetry   P2/m, No. 10
Magnetic moment   11.7 μB/f.u.
N(E_F)   17.34 states/eV/cell


Record 6
A plane-wave DFT calculation with PBE was carried out for an optimized crystal structure of CrFeNi6.

Structure (POSCAR):
```
CrFeNi6
1.0
5.0247 0.0000 0.0000
0.0000 5.0247 0.0000
0.0000 0.0000 3.5321
Cr Fe Ni
1 1 6
Direct
0.0000 0.0000 0.0000
0.5000 0.5000 0.0000
0.0000 0.5000 0.0000
0.2499 0.2499 0.5000
0.2499 0.7501 0.5000
0.5000 0.0000 0.0000
0.7501 0.2499 0.5000
0.7501 0.7501 0.5000
```

Results
DFT total energy   -0.24333 Ha/atom
Symmetry   P4/mmm, No. 123
Formation energy   -0.0246 eV/atom
Relative energy among the computed polymorphs   12 meV/atom
Magnetic moment   7.1 μB/f.u.
N(E_F)   12.10 states/eV/cell


Record 7
A plane-wave DFT calculation with PBE was carried out for an optimized crystal structure of Pu2Al4NiAu3.

Structure (POSCAR):
```
Pu2Al4NiAu3
1.0
4.3009 0.0000 0.0000
0.0000 4.3009 0.0000
0.0000 0.0000 10.5544
Pu Al Ni Au
2 4 1 3
Direct
0.0000 0.5000 0.2415
0.5000 0.0000 0.7585
0.0000 0.0000 0.5000
0.0000 0.5000 0.8776
0.5000 0.0000 0.1224
0.5000 0.5000 0.5000
0.5000 0.5000 0.0000
0.0000 0.0000 0.0000
0.0000 0.5000 0.6383
0.5000 0.0000 0.3617
```

Results
DFT total energy   -0.23461 Ha/atom
Symmetry   P-4m2, No. 115
Formation energy   -0.4593 eV/atom
Magnetic moment   11.1 μB/f.u.
N(E_F)   29.03 states/eV/cell


Record 8
A plane-wave DFT calculation with PBE was carried out for an optimized crystal structure of PmTiTl2.

Structure (POSCAR):
```
PmTiTl2
1.0
3.7076 0.0000 0.0000
0.0000 3.7076 0.0000
0.0000 0.0000 7.1908
Pm Ti Tl
1 1 2
Direct
0.0000 0.0000 0.0000
0.0000 0.0000 0.5000
0.5000 0.5000 0.2828
0.5000 0.5000 0.7172
```

Results
DFT total energy   -0.16155 Ha/atom
Symmetry   P4/mmm, No. 123
Formation energy   -0.0514 eV/atom
Magnetic moment   1.0 μB/f.u.
N(E_F)   3.83 states/eV/cell


Record 9
A plane-wave DFT calculation with PBE was carried out for an optimized crystal structure of RbHg3Pt.

Structure (POSCAR):
```
RbHg3Pt
1.0
5.3385 0.0000 0.0000
0.0000 8.7972 0.0000
-0.4719 0.0000 6.7337
Rb Hg Pt
2 6 2
Direct
0.0018 0.2500 0.4990
0.9982 0.7500 0.5010
0.0029 0.7500 0.0012
0.4894 0.0000 0.2560
0.4894 0.5000 0.2560
0.5106 0.0000 0.7440
0.5106 0.5000 0.7440
0.9971 0.2500 0.9988
0.4972 0.2500 0.9997
0.5028 0.7500 0.0003
```

Results
DFT total energy   -0.06409 Ha/atom
Symmetry   P2_1/m, No. 11
Formation energy   -0.1613 eV/atom
Relative energy among the computed polymorphs   121 meV/atom
Magnetic moment   0.0 μB/f.u.
N(E_F)   2.93 states/eV/cell


Record 10
A plane-wave DFT calculation with PBE was carried out for an optimized crystal structure of Ce2PrZr.

Structure (POSCAR):
```
Ce2PrZr
1.0
3.3894 0.0000 0.0000
-1.6947 2.9353 0.0000
0.0000 0.0000 34.1488
Ce Pr Zr
6 3 3
Direct
0.0000 0.0000 0.2451
0.0000 0.0000 0.7549
0.3333 0.6667 0.4216
0.3333 0.6667 0.9117
0.6667 0.3333 0.0883
0.6667 0.3333 0.5784
0.0000 0.0000 0.0000
0.3333 0.6667 0.6667
0.6667 0.3333 0.3333
0.0000 0.0000 0.5000
0.3333 0.6667 0.1667
0.6667 0.3333 0.8333
```

Results
DFT total energy   -0.22622 Ha/atom
Symmetry   R-3m, No. 166
Formation energy   0.1430 eV/atom
Relative energy among the computed polymorphs   10 meV/atom
Magnetic moment   0.7 μB/f.u.
N(E_F)   29.69 states/eV/cell


Record 11
A plane-wave DFT calculation with PBE was carried out for an optimized crystal structure of CoTe4Rh.

Structure (POSCAR):
```
CoTe4Rh
1.0
5.5300 0.0000 0.0000
0.0000 3.8553 0.0000
-0.0440 0.0000 6.7407
Co Te Rh
1 4 1
Direct
0.0000 0.0000 0.0000
0.2382 0.5000 0.8448
0.2493 0.0000 0.3215
0.7507 0.0000 0.6785
0.7618 0.5000 0.1552
0.0000 0.5000 0.5000
```

Results
DFT total energy   -0.17631 Ha/atom
ΔE_f (raw)   -0.294 eV/atom
Symmetry   P2/m, No. 10
Relative energy among the computed polymorphs   0 meV/atom
Magnetic moment   0.0 μB/f.u.
N(E_F)   3.53 states/eV/cell


Record 12
A plane-wave DFT calculation with PBE was carried out for an optimized crystal structure of Ce2Dy3ThP6.

Structure (POSCAR):
```
Ce2Dy3ThP6
1.0
3.5195 -6.0983 0.0000
3.5195 6.0983 0.0000
-2.3465 0.0000 6.6094
Ce Dy Th P
2 3 1 6
Direct
0.1667 0.8333 0.0000
0.8333 0.1667 0.0000
0.0000 0.0000 0.5000
0.3335 0.6665 0.5000
0.6665 0.3335 0.5000
0.5000 0.5000 0.0000
0.0801 0.4151 0.7454
0.2500 0.2500 0.2548
0.4151 0.0801 0.7454
0.5849 0.9199 0.2546
0.7500 0.7500 0.7452
0.9199 0.5849 0.2546
```

Results
DFT total energy   -0.25869 Ha/atom
Symmetry   C2/m, No. 12
Formation energy   -1.5764 eV/atom
Magnetic moment   1.1 μB/f.u.
N(E_F)   10.85 states/eV/cell


Record 13
A plane-wave DFT calculation with PBE was carried out for an optimized crystal structure of In2SbSe.

Structure (POSCAR):
```
In2SbSe
1.0
6.7615 0.0000 0.0000
0.0000 8.0749 0.0000
0.0000 0.0000 3.8448
In Sb Se
4 2 2
Direct
0.2500 0.2500 0.0000
0.2500 0.7500 0.0000
0.7500 0.2500 0.0000
0.7500 0.7500 0.0000
0.0000 0.0000 0.5000
0.5000 0.5000 0.5000
0.0000 0.5000 0.5000
0.5000 0.0000 0.5000
```

Results
DFT total energy   -0.12110 Ha/atom
ΔE_f (raw)   -0.024 eV/atom
Symmetry   Cmmm, No. 65
Relative energy among the computed polymorphs   220 meV/atom
Magnetic moment   0.0 μB/f.u.
N(E_F)   3.43 states/eV/cell


Record 14
A plane-wave DFT calculation with PBE was carried out for an optimized crystal structure of PaBrN.

Structure (POSCAR):
```
PaBrN
1.0
1.9635 1.1336 10.7301
-1.9635 1.1336 10.7301
0.0000 -2.2672 10.7301
Pa Br N
2 2 2
Direct
0.2090 0.2090 0.2090
0.7910 0.7910 0.7910
0.3934 0.3934 0.3934
0.6066 0.6066 0.6066
0.1404 0.1404 0.1404
0.8596 0.8596 0.8596
```

Results
DFT total energy   -0.30279 Ha/atom
ΔE_f (raw)   -1.741 eV/atom
Symmetry   R-3m, No. 166
Magnetic moment   0.0 μB/f.u.
N(E_F)   0.73 states/eV/cell


Record 15
A plane-wave DFT calculation with PBE was carried out for an optimized crystal structure of Ta2MnRe2Se8.

Structure (POSCAR):
```
Ta2MnRe2Se8
1.0
3.4625 0.0000 0.0000
-1.7312 2.9986 0.0000
0.0000 0.0000 26.4226
Ta Mn Re Se
2 1 2 8
Direct
0.0000 0.0000 0.0000
0.0000 0.0000 0.4953
0.0000 0.0000 0.8685
0.0000 0.0000 0.2496
0.0000 0.0000 0.7418
0.3333 0.6667 0.1907
0.3333 0.6667 0.3086
0.3333 0.6667 0.6846
0.3333 0.6667 0.8079
0.6667 0.3333 0.0632
0.6667 0.3333 0.4318
0.6667 0.3333 0.5587
0.6667 0.3333 0.9348
```

Results
DFT total energy   -0.25552 Ha/atom
ΔE_f (raw)   -0.365 eV/atom
Symmetry   P3m1, No. 156
Magnetic moment   3.0 μB/f.u.
N(E_F)   7.46 states/eV/cell


Record 16
A plane-wave DFT calculation with PBE was carried out for an optimized crystal structure of Sr2MnZn.

Structure (POSCAR):
```
Sr2MnZn
1.0
4.7599 0.0000 0.0000
0.0000 4.7599 0.0000
0.0000 0.0000 20.6490
Sr Mn Zn
8 4 4
Direct
0.2423 0.2500 0.1250
0.2500 0.7423 0.3750
0.2500 0.7577 0.8750
0.2577 0.2500 0.6250
0.7423 0.7500 0.6250
0.7500 0.2423 0.8750
0.7500 0.2577 0.3750
0.7577 0.7500 0.1250
0.0000 0.0000 0.0000
0.0000 0.5000 0.2500
0.5000 0.0000 0.7500
0.5000 0.5000 0.5000
0.0000 0.0000 0.5000
0.0000 0.5000 0.7500
0.5000 0.0000 0.2500
0.5000 0.5000 0.0000
```

Results
DFT total energy   -0.08336 Ha/atom
Symmetry   I-42d, No. 122
Formation energy   1.1835 eV/atom
Magnetic moment   0.2 μB/f.u.
N(E_F)   27.54 states/eV/cell


Record 17
A plane-wave DFT calculation with PBE was carried out for an optimized crystal structure of AgIr4W.

Structure (POSCAR):
```
AgIr4W
1.0
0.0000 3.6419 3.6419
3.6419 0.0000 3.6419
3.6419 3.6419 0.0000
Ag Ir W
1 4 1
Direct
0.0000 0.0000 0.0000
0.3747 0.3747 0.3747
0.3747 0.3747 0.8758
0.3747 0.8758 0.3747
0.8758 0.3747 0.3747
0.7500 0.7500 0.7500
```

Results
DFT total energy   -0.29936 Ha/atom
Symmetry   F-43m, No. 216
Formation energy   0.3955 eV/atom
Magnetic moment   0.0 μB/f.u.
N(E_F)   4.58 states/eV/cell


Record 18
A plane-wave DFT calculation with PBE was carried out for an optimized crystal structure of PuSnPb2.

Structure (POSCAR):
```
PuSnPb2
1.0
3.4137 0.0000 0.0000
-1.7068 2.9563 0.0000
0.0000 0.0000 36.9148
Pu Sn Pb
3 3 6
Direct
0.0000 0.0000 0.0000
0.3333 0.6667 0.6667
0.6667 0.3333 0.3333
0.0000 0.0000 0.5000
0.3333 0.6667 0.1667
0.6667 0.3333 0.8333
0.0000 0.0000 0.0892
0.0000 0.0000 0.9108
0.3333 0.6667 0.5774
0.3333 0.6667 0.7559
0.6667 0.3333 0.2441
0.6667 0.3333 0.4226
```

Results
DFT total energy   -0.22797 Ha/atom
Symmetry   R-3m, No. 166
Formation energy   0.2344 eV/atom
Relative energy among the computed polymorphs   442 meV/atom
Magnetic moment   6.5 μB/f.u.
N(E_F)   30.85 states/eV/cell


Record 19
A plane-wave DFT calculation with PBE was carried out for an optimized crystal structure of Cd2Cl.

Structure (POSCAR):
```
Cd2Cl
1.0
7.1867 0.0000 0.0000
0.0000 7.1867 0.0000
0.0000 0.0000 7.1867
Cd Cl
8 4
Direct
0.1127 0.1127 0.1127
0.1127 0.3873 0.6127
0.3873 0.6127 0.1127
0.3873 0.8873 0.6127
0.6127 0.1127 0.3873
0.6127 0.3873 0.8873
0.8873 0.6127 0.3873
0.8873 0.8873 0.8873
0.0000 0.0000 0.5000
0.0000 0.5000 0.0000
0.5000 0.0000 0.0000
0.5000 0.5000 0.5000
```

Results
DFT total energy   -0.04997 Ha/atom
ΔE_f (raw)   -0.134 eV/atom
Symmetry   Pa-3, No. 205
Magnetic moment   0.0 μB/f.u.
N(E_F)   7.47 states/eV/cell


Record 20
A plane-wave DFT calculation with PBE was carried out for an optimized crystal structure of Er2Mn16Tc.

Structure (POSCAR):
```
Er2Mn16Tc
1.0
4.3283 2.4989 3.8915
-4.3283 2.4989 3.8915
0.0000 -4.9979 3.8915
Er Mn Tc
2 16 1
Direct
0.0000 0.0000 0.0000
0.2892 0.2892 0.2892
0.0039 0.0039 0.5179
0.0039 0.5179 0.0039
0.1438 0.6444 0.6444
0.2877 0.2877 0.7673
0.2877 0.7673 0.2877
0.3644 0.6420 0.9214
0.3644 0.9214 0.6420
0.5179 0.0039 0.0039
0.5410 0.5410 0.5410
0.6420 0.3644 0.9214
0.6420 0.9214 0.3644
0.6444 0.1438 0.6444
0.6444 0.6444 0.1438
0.7673 0.2877 0.2877
0.9214 0.3644 0.6420
0.9214 0.6420 0.3644
0.7445 0.7445 0.7445
```

Results
DFT total energy   -0.32185 Ha/atom
Symmetry   R3m, No. 160
Formation energy   -0.0105 eV/atom
Magnetic moment   5.1 μB/f.u.
N(E_F)   20.42 states/eV/cell